A relaxed structure of TeAs4. Source: Alexandria, functional PBE.

```
TeAs4
1.0
5.281 0.000 0.000
0.000 5.281 0.000
0.000 0.000 5.281
Te As
1 4
Direct
0.000 0.000 0.000
0.000 0.000 0.500
0.000 0.500 0.000
0.500 0.000 0.000
0.500 0.500 0.500
```

Values from the calculation:
Relative energy among the computed polymorphs, eV/atom: 1.017
Formation energy from raw total energies, eV per atom: 1.257
SG: Pm-3m, No. 221


A relaxed structure of RbReSb2Te. Source: Alexandria, functional PBE.

```
RbReSb2Te
1.0
5.678 0.000 0.000
0.000 5.678 0.000
0.000 0.000 5.780
Rb Re Sb Te
1 1 2 1
Direct
0.000 0.000 0.000
0.500 0.500 0.500
0.000 0.500 0.000
0.500 0.000 0.000
0.000 0.000 0.500
```

Values from the calculation:
Relative energy among the computed polymorphs, eV/atom: 2.484
Formation energy from raw total energies, eV per atom: 2.775
SG: P4/mmm, No. 123


A relaxed structure of FeTc2Ir. Source: Alexandria, functional PBE.

```
FeTc2Ir
1.0
-1.418 2.200 4.504
1.418 -2.200 4.504
1.418 2.200 -4.504
Fe Tc Ir
1 2 1
Direct
0.000 0.000 0.000
0.502 0.502 0.000
0.778 0.278 0.500
0.228 0.728 0.500
```

Values from the calculation:
Relative energy among the computed polymorphs, eV/atom: 0.180
SG: Imm2, No. 44
DFT formation energy, eV per atom: 0.131